# CdMoCl2 | the Alexandria database | GGA-PBE | optimized geometry
data_CdMoCl2
_symmetry_space_group_name_H-M 'P 4/m m m'
_symmetry_Int_Tables_number 123
_symmetry_space_group_name_Hall '-P 4 2'
_cell_length_a 3.0885
_cell_length_b 3.0885
_cell_length_c 9.6032
_cell_angle_alpha 90.00
_cell_angle_beta 90.00
_cell_angle_gamma 90.00
loop_
_atom_site_label
_atom_site_fract_x
_atom_site_fract_y
_atom_site_fract_z
Cd1 0.0000 0.0000 0.0000
Mo1 0.0000 0.0000 0.5000
Cl1 0.5000 0.5000 0.3448
# ΔE_f (raw)	0.072	eV/atom



# CdMo2Cl | the Alexandria database | GGA-PBE | optimized geometry
data_CdMo2Cl
_symmetry_space_group_name_H-M 'C m m 2'
_symmetry_Int_Tables_number 35
_cell_length_a 3.2342
_cell_length_b 4.9987
_cell_length_c 9.3432
_cell_angle_alpha 90.00
_cell_angle_beta 90.00
_cell_angle_gamma 90.00
loop_
_symmetry_equiv_pos_as_xyz
'x,y,z'
'-x,-y,z'
'-x,y,z'
'x,-y,z'
'x+1/2,y+1/2,z'
'-x+1/2,-y+1/2,z'
'-x+1/2,y+1/2,z'
'x+1/2,-y+1/2,z'
loop_
_atom_site_label
_atom_site_fract_x
_atom_site_fract_y
_atom_site_fract_z
Cd1 0.0000 0.0000 0.0000
Mo1 0.0000 0.0000 0.5298
Mo2 0.0000 0.5000 0.7353
Cl1 0.0000 0.5000 0.3104
# ΔE_f (raw)	0.183	eV/atom



# CdMo2Cl | the Alexandria database | GGA-PBE | optimized geometry
data_CdMo2Cl
_symmetry_space_group_name_H-M 'C m m m'
_symmetry_Int_Tables_number 65
_symmetry_space_group_name_Hall '-C 2 2'
_cell_length_a 2.9104
_cell_length_b 5.0691
_cell_length_c 9.3780
_cell_angle_alpha 90.00
_cell_angle_beta 90.00
_cell_angle_gamma 90.00
loop_
_atom_site_label
_atom_site_fract_x
_atom_site_fract_y
_atom_site_fract_z
Cd1 0.0000 0.0000 0.0000
Mo1 0.0000 0.5000 0.2691
Cl1 0.0000 0.0000 0.5000
# ΔE_f (raw)	0.633	eV/atom